A.
The following is a GGA-PBE calculation of crystalline SrSm2Au at its relaxed geometry, from Alexandria.

## Properties
The density of states at the Fermi level comes out at 1.45 states/eV per atom.

Cell lengths 3.7433, 3.7433, 9.7641 Å; angles 90.00, 90.00, 90.00 degrees
Closest atoms and distances in Å follow each position.
Space group P4/mmm (No. 123)
Unique sites:
Sr: 0.0000 0.0000 0.0000  4 Sr 3.74, 8 Sm 4.13
Sm: 0.5000 0.5000 0.3252  4 Au 3.15, 1 Sm 3.41
Au: 0.0000 0.0000 0.5000  8 Sm 3.15

B.
The following is a GGA-PBE calculation of crystalline SrSm2Au at its relaxed geometry, from Alexandria.

## Properties
The density of states at the Fermi level comes out at 1.29 states/eV per atom.

Cell lengths 4.0213, 4.0213, 31.3939 Å; angles 90.00, 90.00, 120.00 degrees
Closest atoms and distances in Å follow each position.
Space group R-3m (No. 166, hexagonal axes)
Unique sites:
Sr: 0.0000 0.0000 0.0000  6 Sr 4.02, 6 Sm 4.09
Sm: 0.0000 0.0000 0.2262  3 Au 2.98
Au: 0.0000 0.0000 0.5000  6 Sm 2.98

C.
The following is a GGA-PBE calculation of crystalline SrSm2Au at its relaxed geometry, from Alexandria.

## Properties
The density of states at the Fermi level comes out at 1.32 states/eV per atom.

Cell lengths 4.0631, 4.0631, 30.9306 Å; angles 90.00, 90.00, 120.00 degrees
Closest atoms and distances in Å follow each position.
Space group R3m (No. 160, hexagonal axes)
Unique sites:
Sr: 0.0000 0.0000 0.0000  6 Sm 4.04-4.11, 6 Sr 4.06
Sm: 0.0000 0.0000 0.5575  3 Au 2.98
Sm: 0.0000 0.0000 0.7728  3 Au 2.97
Au: 0.0000 0.0000 0.1649  6 Sm 2.97-2.98

Verdict on stability: A comes out on top.

A.
The following is a GGA-PBE calculation of crystalline TbSmAu at its relaxed geometry, from Alexandria.

## Properties
The density of states at the Fermi level comes out at 1.43 states/eV per atom.

Cell lengths 7.1215, 7.1215, 7.1215 Å; angles 90.00, 90.00, 90.00 degrees
Closest atoms and distances in Å follow each position.
Space group F-43m (No. 216)
Unique sites:
Tb: 0.0000 0.0000 0.0000  4 Au 3.08
Sm: 0.0000 0.0000 0.5000  4 Au 3.08
Au: 0.2500 0.2500 0.2500  4 Tb 3.08, 4 Sm 3.08

B.
The following is a GGA-PBE calculation of crystalline TbSmAu at its relaxed geometry, from Alexandria.

## Properties
The density of states at the Fermi level comes out at 1.09 states/eV per atom.

Cell lengths 3.6440, 3.6440, 12.4597 Å; angles 90.00, 90.00, 90.00 degrees
Closest atoms and distances in Å follow each position.
Space group I4mm (No. 107)
Unique sites:
Tb: 0.0000 0.0000 0.0000  4 Au 3.09
Sm: 0.0000 0.0000 0.7109  4 Au 3.20
Au: 0.0000 0.0000 0.3636  4 Tb 3.09, 4 Sm 3.20

C.
The following is a GGA-PBE calculation of crystalline TbSmAu at its relaxed geometry, from Alexandria.

## Properties
The density of states at the Fermi level comes out at 0.69 states/eV per atom.

Cell lengths 4.9436, 4.9436, 3.8778 Å; angles 90.00, 90.00, 120.00 degrees
Closest atoms and distances in Å follow each position.
Space group P3m1 (No. 156)
Unique sites:
Tb: 0.0000 0.0000 0.0000  3 Au 3.00
Sm: 0.6667 0.3333 0.4622  3 Au 3.08, 3 Tb 3.37
Au: 0.3333 0.6667 0.7596  3 Tb 3.00, 3 Sm 3.08

Verdict on stability: B comes out on top.

A.
The following is a GGA-PBE calculation of crystalline TbSmAu at its relaxed geometry, from Alexandria.

## Properties
The density of states at the Fermi level comes out at 1.04 states/eV per atom.

Cell lengths 7.2229, 5.0259, 9.0489 Å; angles 90.00, 90.00, 90.00 degrees
Closest atoms and distances in Å follow each position.
Space group Pnma (No. 62)
Unique sites:
Tb: 0.1500 0.2500 0.0825  4 Au 2.91-3.08
Sm: 0.0108 0.2500 0.6768  3 Au 3.01-3.21
Au: 0.2470 0.2500 0.4027  4 Tb 2.91-3.08, 3 Sm 3.01-3.21

B.
The following is a GGA-PBE calculation of crystalline TbSmAu at its relaxed geometry, from Alexandria.

## Properties
The density of states at the Fermi level comes out at 0.89 states/eV per atom.

Cell lengths 5.0348, 5.0348, 22.9385 Å; angles 90.00, 90.00, 120.00 degrees
Closest atoms and distances in Å follow each position.
Space group R3m (No. 160, hexagonal axes)
Unique sites:
Tb: 0.0000 0.0000 0.0000  3 Au 3.02, 3 Sm 3.36
Tb: 0.0000 0.0000 0.1617  4 Au 3.11-3.13, 3 Sm 3.48
Sm: 0.0000 0.0000 0.5786  4 Au 3.06-3.14
Sm: 0.0000 0.0000 0.7402  3 Au 3.04, 3 Tb 3.36
Au: 0.0000 0.0000 0.2974  4 Tb 3.02-3.11, 3 Sm 3.14
Au: 0.0000 0.0000 0.4450  4 Sm 3.04-3.06, 3 Tb 3.13, 1 Au 3.39

Verdict on stability: A comes out on top.

A.
The following is a GGA-PBE calculation of crystalline Tb3SmAu2 at its relaxed geometry, from Alexandria.

## Properties
The density of states at the Fermi level comes out at 1.37 states/eV per atom.

Cell lengths 7.1145, 13.9817, 7.3458 Å; angles 90.00, 90.00, 90.00 degrees
Closest atoms and distances in Å follow each position.
Space group Ibam (No. 72)
Unique sites:
Tb: 0.0000 0.0000 0.2500  4 Au 3.07
Tb: 0.0000 0.2662 0.2500  4 Au 2.91-3.08
Sm: 0.0000 0.5000 0.0000  2 Au 2.90
Au: 0.2032 0.1426 0.0000  1 Sm 2.90, 6 Tb 2.91-3.08

B.
The following is a GGA-PBE calculation of crystalline Tb3SmAu2 at its relaxed geometry, from Alexandria.

## Properties
The density of states at the Fermi level comes out at 1.04 states/eV per atom.

Cell lengths 5.0109, 9.0311, 7.1732 Å; angles 90.00, 90.00, 90.00 degrees
Closest atoms and distances in Å follow each position.
Space group Pmc2_1 (No. 26)
Unique sites:
Tb: 0.0000 0.0727 0.0000  3 Au 2.97-3.18
Tb: 0.0000 0.3317 0.3613  4 Au 2.92-3.09
Tb: 0.5000 0.1670 0.6612  4 Au 2.91-3.07
Sm: 0.5000 0.4260 0.0225  3 Au 3.00-3.19
Au: 0.0000 0.3451 0.7677  5 Tb 2.92-3.07, 2 Sm 3.19
Au: 0.5000 0.1501 0.2558  6 Tb 2.91-3.18, 1 Sm 3.00

Verdict on stability: B comes out on top.

A.
The following is a GGA-PBE calculation of crystalline Sm2TeAu at its relaxed geometry, from Alexandria.

## Properties
The density of states at the Fermi level comes out at 0.98 states/eV per atom.

Cell lengths 3.8491, 3.8491, 7.1932 Å; angles 90.00, 90.00, 90.00 degrees
Closest atoms and distances in Å follow each position.
Space group P4/mmm (No. 123)
Unique sites:
Sm: 0.0000 0.0000 0.2419  4 Au 3.23, 4 Te 3.29, 1 Sm 3.48
Te: 0.5000 0.5000 0.5000  8 Sm 3.29, 2 Au 3.60
Au: 0.5000 0.5000 0.0000  8 Sm 3.23, 2 Te 3.60

B.
The following is a GGA-PBE calculation of crystalline Sm2TeAu at its relaxed geometry, from Alexandria.

## Properties
The density of states at the Fermi level comes out at 0.91 states/eV per atom.

Cell lengths 4.2348, 4.2348, 23.1218 Å; angles 90.00, 90.00, 120.00 degrees
Closest atoms and distances in Å follow each position.
Space group R3m (No. 160, hexagonal axes)
Unique sites:
Sm: 0.0000 0.0000 0.0000  3 Au 3.02, 3 Te 3.24
Sm: 0.0000 0.0000 0.1819  3 Au 2.99, 3 Te 3.21
Te: 0.0000 0.0000 0.7587  6 Sm 3.21-3.24
Au: 0.0000 0.0000 0.5899  6 Sm 2.99-3.02

Verdict on stability: B comes out on top.

A.
The following is a GGA-PBE calculation of crystalline Sm2TeAu at its relaxed geometry, from Alexandria.

## Properties
The density of states at the Fermi level comes out at 0.61 states/eV per atom.

Cell lengths 4.1312, 23.8157, 4.6303 Å; angles 90.00, 90.00, 90.00 degrees
Closest atoms and distances in Å follow each position.
Space group Cmcm (No. 63)
Unique sites:
Sm: 0.0000 0.0605 0.2500  6 Au 3.13-3.20, 1 Te 3.17
Sm: 0.0000 0.3285 0.2500  1 Au 3.08, 5 Te 3.15-3.21
Te: 0.0000 0.1935 0.2500  6 Sm 3.15-3.21
Au: 0.0000 0.4579 0.2500  2 Au 3.06, 7 Sm 3.08-3.20

B.
The following is a GGA-PBE calculation of crystalline Sm2TeAu at its relaxed geometry, from Alexandria.

## Properties
The density of states at the Fermi level comes out at 0.91 states/eV per atom.

Cell lengths 4.2484, 4.2484, 22.7638 Å; angles 90.00, 90.00, 120.00 degrees
Closest atoms and distances in Å follow each position.
Space group R-3m (No. 166, hexagonal axes)
Unique sites:
Sm: 0.0000 0.0000 0.2441  3 Au 3.02, 3 Te 3.18
Te: 0.0000 0.0000 0.0000  6 Sm 3.18
Au: 0.0000 0.0000 0.5000  6 Sm 3.02

Verdict on stability: A comes out on top.

A.
The following is a GGA-PBE calculation of crystalline Sm2ThAu at its relaxed geometry, from Alexandria.

## Properties
The density of states at the Fermi level comes out at 1.11 states/eV per atom.

Cell lengths 3.6760, 3.6760, 8.4324 Å; angles 90.00, 90.00, 90.00 degrees
Closest atoms and distances in Å follow each position.
Space group P4/mmm (No. 123)
Unique sites:
Sm: 0.0000 0.0000 0.2146  4 Au 3.17, 4 Th 3.54
Th: 0.5000 0.5000 0.5000  8 Sm 3.54, 4 Th 3.68
Au: 0.5000 0.5000 0.0000  8 Sm 3.17

B.
The following is a GGA-PBE calculation of crystalline Sm2ThAu at its relaxed geometry, from Alexandria.

## Properties
The density of states at the Fermi level comes out at 1.52 states/eV per atom.

Cell lengths 5.5622, 5.5622, 3.6240 Å; angles 90.00, 90.00, 90.00 degrees
Closest atoms and distances in Å follow each position.
Space group P4/mmm (No. 123)
Unique sites:
Sm: 0.0000 0.5000 0.0000  4 Th 3.32, 4 Au 3.32, 2 Sm 3.62
Th: 0.0000 0.0000 0.5000  8 Sm 3.32, 2 Th 3.62
Au: 0.5000 0.5000 0.5000  8 Sm 3.32, 2 Au 3.62

C.
The following is a GGA-PBE calculation of crystalline Sm2ThAu at its relaxed geometry, from Alexandria.

## Properties
The density of states at the Fermi level comes out at 1.43 states/eV per atom.

Cell lengths 3.6756, 3.6756, 30.6403 Å; angles 90.00, 90.00, 120.00 degrees
Closest atoms and distances in Å follow each position.
Space group R-3m (No. 166, hexagonal axes)
Unique sites:
Sm: 0.0000 0.0000 0.2393  3 Au 3.07
Th: 0.0000 0.0000 0.0000  6 Sm 3.58, 6 Th 3.68
Au: 0.0000 0.0000 0.5000  6 Sm 3.07

D.
The following is a GGA-PBE calculation of crystalline Sm2ThAu at its relaxed geometry, from Alexandria.

## Properties
The density of states at the Fermi level comes out at 1.58 states/eV per atom.

Cell lengths 3.7002, 3.7002, 30.7489 Å; angles 90.00, 90.00, 120.00 degrees
Closest atoms and distances in Å follow each position.
Space group R3m (No. 160, hexagonal axes)
Unique sites:
Sm: 0.0000 0.0000 0.0000  3 Au 3.06
Sm: 0.0000 0.0000 0.1914  3 Au 3.05
Th: 0.0000 0.0000 0.4293  6 Sm 3.63-3.64, 6 Th 3.70
Au: 0.0000 0.0000 0.5956  6 Sm 3.05-3.06

Verdict on stability: A comes out on top.

A.
The following is a GGA-PBE calculation of crystalline SmThAu4 at its relaxed geometry, from Alexandria.

## Properties
The density of states at the Fermi level comes out at 0.77 states/eV per atom.

Cell lengths 4.7857, 6.9834, 8.2630 Å; angles 90.00, 90.00, 90.00 degrees
Closest atoms and distances in Å follow each position.
Space group Immm (No. 71)
Unique sites:
Sm: 0.0000 0.0000 0.0000  12 Au 3.25-3.28, 2 Th 3.49
Th: 0.0000 0.5000 0.0000  12 Au 3.25-3.27, 2 Sm 3.49
Au: 0.0000 0.2465 0.3330  3 Au 2.76

B.
The following is a GGA-PBE calculation of crystalline SmThAu4 at its relaxed geometry, from Alexandria.

## Properties
The density of states at the Fermi level comes out at 0.44 states/eV per atom.

Cell lengths 3.8574, 3.8574, 9.2818 Å; angles 90.00, 90.00, 90.00 degrees
Closest atoms and distances in Å follow each position.
Space group P4/mmm (No. 123)
Unique sites:
Sm: 0.0000 0.0000 0.0000  10 Au 3.07-3.12
Th: 0.5000 0.5000 0.5000  10 Au 3.12-3.15
Au: 0.0000 0.0000 0.3305  1 Sm 3.07, 5 Au 3.14-3.15, 4 Th 3.15
Au: 0.5000 0.5000 0.1633  5 Au 3.03-3.14, 4 Sm 3.12, 1 Th 3.12

Verdict on stability: B comes out on top.

A.
The following is a GGA-PBE calculation of crystalline SmTh2Au at its relaxed geometry, from Alexandria.

## Properties
The density of states at the Fermi level comes out at 1.02 states/eV per atom.

Cell lengths 3.6785, 3.6785, 8.7864 Å; angles 90.00, 90.00, 90.00 degrees
Closest atoms and distances in Å follow each position.
Space group P4/mmm (No. 123)
Unique sites:
Sm: 0.0000 0.0000 0.0000  8 Th 3.61, 4 Sm 3.68
Th: 0.5000 0.5000 0.2853  4 Au 3.21
Au: 0.0000 0.0000 0.5000  8 Th 3.21

B.
The following is a GGA-PBE calculation of crystalline SmTh2Au at its relaxed geometry, from Alexandria.

## Properties
The density of states at the Fermi level comes out at 1.10 states/eV per atom.

Cell lengths 3.6911, 3.6911, 31.0396 Å; angles 90.00, 90.00, 120.00 degrees
Closest atoms and distances in Å follow each position.
Space group R-3m (No. 166, hexagonal axes)
Unique sites:
Sm: 0.0000 0.0000 0.0000  6 Th 3.60, 6 Sm 3.69
Th: 0.0000 0.0000 0.2399  3 Au 3.12
Au: 0.0000 0.0000 0.5000  6 Th 3.12

Verdict on stability: A comes out on top.

A.
The following is a GGA-PBE calculation of crystalline SmThAu at its relaxed geometry, from Alexandria.

## Properties
The density of states at the Fermi level comes out at 1.35 states/eV per atom.

Cell lengths 5.3299, 5.3299, 6.4961 Å; angles 90.00, 90.00, 120.00 degrees
Closest atoms and distances in Å follow each position.
Space group P-3m1 (No. 164)
Unique sites:
Sm: 0.0000 0.0000 0.2310  1 Sm 3.00, 3 Au 3.19, 3 Th 3.26
Th: 0.3333 0.6667 0.3950  5 Au 3.24-3.61, 3 Sm 3.26, 3 Th 3.37
Au: 0.3333 0.6667 0.8958  3 Sm 3.19, 2 Th 3.24-3.25, 3 Au 3.36

B.
The following is a GGA-PBE calculation of crystalline SmThAu at its relaxed geometry, from Alexandria.

## Properties
The density of states at the Fermi level comes out at 1.06 states/eV per atom.

Cell lengths 5.0358, 5.0358, 3.7000 Å; angles 90.00, 90.00, 120.00 degrees
Closest atoms and distances in Å follow each position.
Space group P3m1 (No. 156)
Unique sites:
Sm: 0.0000 0.0000 0.0000  3 Au 3.17, 3 Th 3.25
Th: 0.3333 0.6667 0.3938  3 Au 3.07, 3 Sm 3.25
Au: 0.6667 0.3333 0.6589  3 Th 3.07, 3 Sm 3.17

Verdict on stability: B comes out on top.

A.
The following is a GGA-PBE calculation of crystalline Sm4TlAu at its relaxed geometry, from Alexandria.

## Properties
The density of states at the Fermi level comes out at 1.04 states/eV per atom.

Cell lengths 5.5398, 7.1368, 8.9832 Å; angles 90.00, 97.67, 90.00 degrees
Closest atoms and distances in Å follow each position.
Space group P2_1/m (No. 11)
Unique sites:
Sm: 0.1728 0.2500 0.0565  2 Au 2.89-3.01, 1 Tl 3.23
Sm: 0.2127 0.7500 0.3787  1 Au 3.06, 2 Tl 3.26-3.35
Sm: 0.3130 0.5153 0.7370  2 Au 3.12-3.32, 1 Sm 3.35, 2 Tl 3.41-3.46
Tl: 0.2340 0.2500 0.4187  11 Sm 3.23-3.59
Au: 0.3404 0.7500 0.0574  5 Sm 2.89-3.12

B.
The following is a GGA-PBE calculation of crystalline Sm4TlAu at its relaxed geometry, from Alexandria.

## Properties
The density of states at the Fermi level comes out at 1.05 states/eV per atom.

Cell lengths 6.3193, 9.2707, 6.3058 Å; angles 90.00, 104.74, 90.00 degrees
Closest atoms and distances in Å follow each position.
Space group P2_1/c (No. 14)
Unique sites:
Sm: 0.0957 0.1678 0.1202  2 Au 3.04-3.19, 1 Tl 3.24
Sm: 0.3926 0.6560 0.9181  1 Au 3.03, 2 Tl 3.23-3.27, 1 Sm 3.25
Tl: 0.5000 0.0000 0.0000  6 Sm 3.23-3.27
Au: 0.0000 0.0000 0.5000  6 Sm 3.03-3.19

Verdict on stability: A comes out on top.